# 1
Density functional theory data (PBE) for a relaxed structure of InBiBr2F.

Geometry as CIF:
```
data_InBiBr2F
_cell_length_a 5.301
_cell_length_b 5.301
_cell_length_c 6.185
_cell_angle_alpha 90.00
_cell_angle_beta 90.00
_cell_angle_gamma 90.00
_symmetry_space_group_name_H-M 'P 4/m m m'
_symmetry_Int_Tables_number 123
_symmetry_space_group_name_Hall '-P 4 2'
loop_
_atom_site_label
_atom_site_fract_x
_atom_site_fract_y
_atom_site_fract_z
In1 0.000 0.000 0.000
Bi1 0.000 0.000 0.500
Br1 0.000 0.500 0.000
F1 0.500 0.500 0.500
```

Computed properties:
E above lowest polymorph in eV/f.u.: 1.05
E_form (uncorrected) in meV/atom: -176

=====

# 2
Density functional theory data (PBE) for a relaxed structure of BiBrNF2.

Geometry as CIF:
```
data_BiBrNF2
_cell_length_a 4.462
_cell_length_b 4.462
_cell_length_c 5.001
_cell_angle_alpha 90.00
_cell_angle_beta 90.00
_cell_angle_gamma 90.00
_symmetry_space_group_name_H-M 'P 4/m m m'
_symmetry_Int_Tables_number 123
_symmetry_space_group_name_Hall '-P 4 2'
loop_
_atom_site_label
_atom_site_fract_x
_atom_site_fract_y
_atom_site_fract_z
Bi1 0.000 0.000 0.000
Br1 0.500 0.500 0.500
N1 0.000 0.000 0.500
F1 0.000 0.500 0.000
```

Computed properties:
E above lowest polymorph in eV/f.u.: 0.00
E_form (uncorrected) in meV/atom: -380

=====

# 3
Density functional theory data (PBE) for a relaxed structure of BiBrNF2.

Geometry as CIF:
```
data_BiBrNF2
_cell_length_a 4.415
_cell_length_b 4.415
_cell_length_c 4.357
_cell_angle_alpha 90.00
_cell_angle_beta 90.00
_cell_angle_gamma 90.00
_symmetry_space_group_name_H-M 'P 4/m m m'
_symmetry_Int_Tables_number 123
_symmetry_space_group_name_Hall '-P 4 2'
loop_
_atom_site_label
_atom_site_fract_x
_atom_site_fract_y
_atom_site_fract_z
Bi1 0.000 0.000 0.000
Br1 0.500 0.500 0.500
N1 0.500 0.500 0.000
F1 0.000 0.500 0.500
```

Computed properties:
E above lowest polymorph in eV/f.u.: 4.24
E_form (uncorrected) in meV/atom: 468

=====

Q: Which energy values were calculated for the entries above? A: -12.7 -19.5 -15.3, in eV for the cell shown.
Q: Which mass density values were calculated for the entries above? A: 4.8 5.7 6.7, in g cm⁻³.
Q: Which V values were calculated for the entries above? A: 173.8 99.6 84.9, in Å³/cell.